# Tb8ErTh4, relaxed, DFT PBE
# M_tot: 0.00 μB/cell
# E_tot: -5.2614 eV per atom
data_Tb8ErTh4
_chemical_formula_sum 'Tb24 Er3 Th12'
_cell_length_a 7.3911
_cell_length_b 7.3911
_cell_length_c 26.8372
_cell_angle_alpha 90.00
_cell_angle_beta 90.00
_cell_angle_gamma 120.00
_symmetry_space_group_name_H-M 'R -3 m'
_symmetry_Int_Tables_number 166
_symmetry_space_group_name_Hall '-R 3 2"'
loop_
_atom_site_label
_atom_site_type_symbol
_atom_site_fract_x
_atom_site_fract_y
_atom_site_fract_z
_atom_site_occupancy
Tb1 Tb 0.0000 0.0000 0.2202 1
Tb2 Tb 0.0388 0.5194 0.7687 1
Er1 Er 0.0000 0.0000 0.5000 1
Th1 Th 0.0000 0.0000 0.0000 1
Th2 Th 0.0000 0.5000 0.0000 1


# Tb6Er3Th, relaxed, DFT PBE
# M_tot: 0.00 μB/cell
# E_tot: -4.7214 eV per atom
# Excess energy over the best structure of this formula in the dataset: 0.000 eV/atom
data_Tb6Er3Th
_chemical_formula_sum 'Tb24 Er12 Th4'
_cell_length_a 11.107
_cell_length_b 18.879
_cell_length_c 6.181
_cell_angle_alpha 90.00
_cell_angle_beta 90.00
_cell_angle_gamma 90.00
_symmetry_space_group_name_H-M 'C m c 21'
_symmetry_Int_Tables_number 36
_symmetry_space_group_name_Hall 'C 2c -2'
loop_
_atom_site_label
_atom_site_type_symbol
_atom_site_fract_x
_atom_site_fract_y
_atom_site_fract_z
_atom_site_occupancy
Tb1 Tb 0.000 0.045 0.000 1
Tb2 Tb 0.000 0.274 0.267 1
Tb3 Tb 0.164 0.456 0.372 1
Tb4 Tb 0.245 0.290 0.536 1
Er1 Er 0.000 0.387 0.840 1
Er2 Er 0.172 0.110 0.450 1
Th1 Th 0.000 0.205 0.771 1


# Tb3Er5Th2, relaxed, DFT PBE
# M_tot: 0.00 μB/cell
# E_tot: -4.9359 eV per atom
data_Tb3Er5Th2
_chemical_formula_sum 'Tb12 Er20 Th8'
_cell_length_a 10.638
_cell_length_b 16.781
_cell_length_c 8.977
_cell_angle_alpha 90.00
_cell_angle_beta 126.30
_cell_angle_gamma 90.00
_symmetry_space_group_name_H-M 'C 1 2/c 1'
_symmetry_Int_Tables_number 15
_symmetry_space_group_name_Hall '-C 2yc'
loop_
_atom_site_label
_atom_site_type_symbol
_atom_site_fract_x
_atom_site_fract_y
_atom_site_fract_z
_atom_site_occupancy
Tb1 Tb 0.000 0.221 0.250 1
Tb2 Tb 0.146 0.124 0.042 1
Er1 Er 0.000 0.029 0.250 1
Er2 Er 0.000 0.278 0.750 1
Er3 Er 0.000 0.468 0.750 1
Er4 Er 0.248 0.120 0.750 1
Th1 Th 0.138 0.376 0.526 1


# Tb4Er3Th4, relaxed, DFT PBE
# M_tot: 0.00 μB/cell
# E_tot: -5.4391 eV per atom
data_Tb4Er3Th4
_chemical_formula_sum 'Tb8 Er6 Th8'
_cell_length_a 10.661
_cell_length_b 5.551
_cell_length_c 12.058
_cell_angle_alpha 90.00
_cell_angle_beta 90.00
_cell_angle_gamma 90.00
_symmetry_space_group_name_H-M 'A m m 2'
_symmetry_Int_Tables_number 38
_symmetry_space_group_name_Hall 'A 2 -2'
loop_
_atom_site_label
_atom_site_type_symbol
_atom_site_fract_x
_atom_site_fract_y
_atom_site_fract_z
_atom_site_occupancy
Tb1 Tb 0.000 0.000 0.000 1
Tb2 Tb 0.213 0.000 0.809 1
Tb3 Tb 0.500 0.000 0.960 1
Er1 Er 0.000 0.000 0.307 1
Er2 Er 0.296 0.000 0.455 1
Th1 Th 0.000 0.000 0.608 1
Th2 Th 0.285 0.000 0.151 1
Th3 Th 0.500 0.000 0.677 1


# Tb4Er15Th, relaxed, DFT PBE
# M_tot: 0.00 μB/cell
# E_tot: -4.6950 eV per atom
data_Tb4Er15Th
_chemical_formula_sum 'Tb4 Er15 Th1'
_cell_length_a 4.989
_cell_length_b 4.989
_cell_length_c 24.822
_cell_angle_alpha 90.00
_cell_angle_beta 90.00
_cell_angle_gamma 90.00
_symmetry_space_group_name_H-M 'P 4/m m m'
_symmetry_Int_Tables_number 123
_symmetry_space_group_name_Hall '-P 4 2'
loop_
_atom_site_label
_atom_site_type_symbol
_atom_site_fract_x
_atom_site_fract_y
_atom_site_fract_z
_atom_site_occupancy
Tb1 Tb 0.000 0.000 0.100 1
Tb2 Tb 0.000 0.000 0.300 1
Er1 Er 0.000 0.500 0.000 1
Er2 Er 0.000 0.500 0.200 1
Er3 Er 0.000 0.500 0.401 1
Er4 Er 0.500 0.500 0.100 1
Er5 Er 0.500 0.500 0.299 1
Er6 Er 0.500 0.500 0.500 1
Th1 Th 0.000 0.000 0.500 1


# Tb9ErTh2, relaxed, DFT PBE
# M_tot: 0.00 μB/cell
# E_tot: -5.0553 eV per atom
data_Tb9ErTh2
_chemical_formula_sum 'Tb9 Er1 Th2'
_cell_length_a 5.036
_cell_length_b 5.036
_cell_length_c 15.059
_cell_angle_alpha 90.00
_cell_angle_beta 90.00
_cell_angle_gamma 90.00
_symmetry_space_group_name_H-M 'P 4/m m m'
_symmetry_Int_Tables_number 123
_symmetry_space_group_name_Hall '-P 4 2'
loop_
_atom_site_label
_atom_site_type_symbol
_atom_site_fract_x
_atom_site_fract_y
_atom_site_fract_z
_atom_site_occupancy
Tb1 Tb 0.000 0.000 0.000 1
Tb2 Tb 0.000 0.000 0.333 1
Tb3 Tb 0.000 0.500 0.168 1
Tb4 Tb 0.000 0.500 0.500 1
Er1 Er 0.500 0.500 0.000 1
Th1 Th 0.500 0.500 0.334 1


# Tb3ErTh, relaxed, DFT PBE
# M_tot: 0.00 μB/cell
# E_tot: -4.7540 eV per atom
# Excess energy over the best structure of this formula in the dataset: 0.388 eV/atom
data_Tb3ErTh
_chemical_formula_sum 'Tb6 Er2 Th2'
_cell_length_a 3.408
_cell_length_b 6.397
_cell_length_c 16.128
_cell_angle_alpha 90.00
_cell_angle_beta 90.00
_cell_angle_gamma 90.00
_symmetry_space_group_name_H-M 'A m m 2'
_symmetry_Int_Tables_number 38
_symmetry_space_group_name_Hall 'A 2 -2'
loop_
_atom_site_label
_atom_site_type_symbol
_atom_site_fract_x
_atom_site_fract_y
_atom_site_fract_z
_atom_site_occupancy
Tb1 Tb 0.000 0.000 0.000 1
Tb2 Tb 0.500 0.239 0.839 1
Er1 Er 0.500 0.000 0.174 1
Th1 Th 0.000 0.000 0.652 1


# TbEr5Th, relaxed, DFT PBE
# M_tot: 0.00 μB/cell
# E_tot: -4.7861 eV per atom
# Excess energy over the best structure of this formula in the dataset: 0.000 eV/atom
data_TbEr5Th
_chemical_formula_sum 'Tb4 Er20 Th4'
_cell_length_a 6.094
_cell_length_b 17.425
_cell_length_c 8.571
_cell_angle_alpha 90.00
_cell_angle_beta 101.93
_cell_angle_gamma 90.00
_symmetry_space_group_name_H-M 'C 1 2/c 1'
_symmetry_Int_Tables_number 15
_symmetry_space_group_name_Hall '-C 2yc'
loop_
_atom_site_label
_atom_site_type_symbol
_atom_site_fract_x
_atom_site_fract_y
_atom_site_fract_z
_atom_site_occupancy
Tb1 Tb 0.000 0.013 0.250 1
Er1 Er 0.000 0.352 0.250 1
Er2 Er 0.117 0.157 0.961 1
Er3 Er 0.202 0.313 0.646 1
Th1 Th 0.000 0.500 0.000 1